1.
A geometry-optimized ZrZnIr2Br structure, computed with PBE.

Properties
formation energy without anion corrections = 1.0048 eV/atom

Lattice parameters (Å, degrees): 4.969 5.162 4.969 90.00 90.00 90.00
Positions (direct):
1 Zr 0.000 0.000 0.000
2 Ir 0.000 0.000 0.500
3 Ir 0.500 0.000 0.000
4 Br 0.000 0.500 0.000
5 Zn 0.500 0.500 0.500

---

2.
A geometry-optimized CaCe2DyHg4 structure, computed with PBE.

Properties
ΔE_f = -0.4087 eV/atom

Lattice parameters (Å, degrees): 5.373 5.373 9.295 73.20 73.20 60.00
Site moments in Bohr magnetons follow the coordinates.
Positions (direct):
1 Hg 0.376 0.376 0.871  0.01
2 Hg 0.874 0.874 0.379  0.01
3 Hg 0.126 0.126 0.621  0.01
4 Hg 0.624 0.624 0.129  0.01
5 Ca 0.000 0.000 0.000  0.00
6 Dy 0.500 0.500 0.500  0.11
7 Ce 0.749 0.749 0.752  0.86
8 Ce 0.251 0.251 0.248  0.86

---

3.
A geometry-optimized Mg2TlRu structure, computed with PBE.

Properties
ΔE_f = 0.1640 eV/atom
polymorph energy (0 for the lowest one) = 0.111 eV/atom

Lattice parameters (Å, degrees): 4.692 4.692 4.692 60.00 60.00 60.00
Positions (direct):
1 Mg 0.250 0.250 0.250
2 Mg 0.750 0.750 0.750
3 Tl 0.500 0.500 0.500
4 Ru 0.000 0.000 0.000

---

4.
A geometry-optimized LaBe2Pt structure, computed with PBE.

Properties
ΔE_f = -0.2741 eV/atom

Lattice parameters (Å, degrees): 3.073 3.073 6.855 90.00 90.00 90.00
Positions (direct):
1 Pt 0.500 0.500 0.750
2 Be 0.000 0.000 0.586
3 Be 0.000 0.000 0.914
4 La 0.500 0.500 0.250

---

no.,size of the total moment (μB per cell)
1,0.00
2,2.17
3,0.00
4,0.00